(1)
{"formula": "Ce6Ge3H", "functional": "PBE", "state": "relaxed", "total_energy_ev_per_atom": -5.803, "e_above_lowest_polymorph_mev_per_atom": 0, "magmom_total_mub_per_cell": 10.98, "lattice": [[-2.125, -2.266, 3.199], [-1.450, -7.733, -6.442], [8.919, -2.217, 4.354]], "species": ["Ce", "Ce", "Ce", "Ce", "Ce", "Ce", "Ce", "Ce", "Ce", "Ce", "Ce", "Ce", "Ge", "Ge", "Ge", "Ge", "Ge", "Ge", "H", "H"], "fractional_positions": [[0.149, 0.724, 0.606], [0.649, 0.606, 0.724], [0.149, 0.425, 0.929], [0.649, 0.929, 0.425], [0.149, 0.057, 0.943], [0.649, 0.252, 0.748], [0.149, 0.748, 0.252], [0.649, 0.943, 0.057], [0.149, 0.071, 0.575], [0.649, 0.575, 0.071], [0.149, 0.394, 0.276], [0.649, 0.276, 0.394], [0.649, 0.938, 0.730], [0.149, 0.730, 0.938], [0.149, 0.392, 0.608], [0.649, 0.608, 0.392], [0.149, 0.062, 0.270], [0.649, 0.270, 0.062], [0.149, 0.201, 0.799], [0.649, 0.799, 0.201]]}

(2)
{"formula": "Ce3GeH", "functional": "PBE", "state": "relaxed", "total_energy_ev_per_atom": -5.563, "e_above_lowest_polymorph_mev_per_atom": 10, "magmom_total_mub_per_cell": 3.63, "lattice": [[-2.536, -0.478, 3.684], [0.888, -6.694, -0.257], [5.069, 3.930, 4.000]], "species": ["Ce", "Ce", "Ce", "Ce", "Ce", "Ce", "Ge", "Ge", "H", "H"], "fractional_positions": [[0.500, 0.299, 0.000], [0.000, 0.883, 0.767], [0.500, 0.701, 0.000], [0.500, 0.500, 0.500], [0.000, 0.117, 0.233], [0.500, 0.000, 0.500], [0.000, 0.639, 0.279], [0.000, 0.361, 0.721], [0.500, 0.115, 0.230], [0.500, 0.885, 0.770]]}

(3)
{"formula": "Ce5Ge4H", "functional": "PBE", "state": "relaxed", "total_energy_ev_per_atom": -5.691, "magmom_total_mub_per_cell": 2.52, "lattice": [[-5.884, -0.859, 0.003], [-2.434, -3.891, 5.581], [-3.746, 5.092, 3.500]], "species": ["Ce", "Ce", "Ce", "Ce", "Ce", "Ge", "Ge", "Ge", "Ge", "H"], "fractional_positions": [[0.902, 0.392, 0.804], [0.294, 0.804, 0.608], [0.706, 0.196, 0.392], [0.098, 0.608, 0.196], [0.471, 0.000, 0.000], [0.404, 0.396, 0.798], [0.800, 0.798, 0.604], [0.202, 0.202, 0.396], [0.598, 0.604, 0.202], [0.035, 0.000, 0.000]]}

(4)
{"formula": "Ce2GeH", "functional": "PBE", "state": "relaxed", "total_energy_ev_per_atom": -5.361, "e_above_lowest_polymorph_mev_per_atom": 210, "magmom_total_mub_per_cell": 1.69, "lattice": [[4.080, 0.000, 0.000], [2.040, 3.533, 0.000], [2.040, 1.178, 6.051]], "species": ["H", "Ge", "Ce", "Ce"], "fractional_positions": [[0.500, 0.500, 0.500], [0.000, 0.000, 0.000], [0.761, 0.761, 0.717], [0.239, 0.239, 0.283]]}

(5)
{"formula": "Ce3Ge2H2", "functional": "PBE", "state": "relaxed", "total_energy_ev_per_atom": -5.310, "magmom_total_mub_per_cell": 1.76, "lattice": [[4.348, 0.000, 0.000], [0.000, 6.030, 0.111], [-2.174, -1.862, 5.826]], "species": ["Ce", "Ce", "Ce", "Ge", "Ge", "H", "H"], "fractional_positions": [[0.000, 0.500, 0.000], [0.322, 0.757, 0.643], [0.678, 0.243, 0.357], [0.640, 0.743, 0.280], [0.360, 0.257, 0.720], [0.833, 0.606, 0.665], [0.167, 0.394, 0.335]]}

(6)
{"formula": "Ce8Ge4H", "functional": "PBE", "state": "relaxed", "total_energy_ev_per_atom": -5.847, "magmom_total_mub_per_cell": 6.81, "lattice": [[-1.308, 4.116, 1.038], [-3.575, -0.600, -2.126], [-6.954, -5.553, 13.260]], "species": ["Ce", "Ce", "Ce", "Ce", "Ce", "Ce", "Ce", "Ce", "Ge", "Ge", "Ge", "Ge", "H"], "fractional_positions": [[0.000, 0.000, 0.445], [0.000, 0.500, 0.940], [0.500, 0.500, 0.058], [0.500, 0.000, 0.561], [0.000, 0.500, 0.249], [0.000, 0.000, 0.753], [0.500, 0.000, 0.247], [0.500, 0.500, 0.749], [0.000, 0.000, 0.104], [0.000, 0.500, 0.607], [0.500, 0.500, 0.393], [0.500, 0.000, 0.894], [0.000, 0.000, 0.303]]}

(7)
{"formula": "Ce2GeH2", "functional": "PBE", "state": "relaxed", "total_energy_ev_per_atom": -5.264, "e_above_lowest_polymorph_mev_per_atom": 0, "magmom_total_mub_per_cell": 3.13, "lattice": [[-1.953, 1.886, -4.885], [-5.117, -1.830, 1.339], [-0.114, 3.751, 4.691]], "species": ["Ce", "Ce", "Ce", "Ce", "Ge", "Ge", "H", "H", "H", "H"], "fractional_positions": [[0.884, 0.250, 0.269], [0.384, 0.750, 0.269], [0.116, 0.750, 0.731], [0.616, 0.250, 0.731], [0.750, 0.750, 0.000], [0.250, 0.250, 0.000], [0.750, 0.500, 0.500], [0.250, 0.000, 0.500], [0.250, 0.500, 0.500], [0.750, 0.000, 0.500]]}

(8)
{"formula": "Ce5Ge2H", "functional": "PBE", "state": "relaxed", "total_energy_ev_per_atom": -5.751, "magmom_total_mub_per_cell": 3.20, "lattice": [[8.888, -1.743, 1.296], [-1.498, 5.467, 2.068], [-2.827, -0.277, 3.162]], "species": ["Ce", "Ce", "Ce", "Ce", "Ce", "Ge", "Ge", "H"], "fractional_positions": [[0.608, 0.829, 0.405], [0.312, 0.283, 0.864], [0.930, 0.882, 0.094], [0.155, 0.548, 0.032], [0.645, 0.352, 0.569], [0.336, 0.901, 0.572], [0.911, 0.277, 0.389], [0.881, 0.704, 0.630]]}

(9)
{"formula": "Ce6GeH8", "functional": "PBE", "state": "relaxed", "total_energy_ev_per_atom": -4.888, "magmom_total_mub_per_cell": 6.44, "lattice": [[-1.821, 0.191, -6.329], [-2.831, -5.263, -2.774], [-7.406, 0.535, -1.283]], "species": ["Ce", "Ce", "Ce", "Ce", "Ce", "Ce", "Ge", "H", "H", "H", "H", "H", "H", "H", "H"], "fractional_positions": [[0.439, 0.086, 0.740], [0.914, 0.266, 0.260], [0.266, 0.561, 0.260], [0.734, 0.439, 0.740], [0.086, 0.734, 0.740], [0.561, 0.914, 0.260], [0.000, 0.000, 0.000], [0.559, 0.186, 0.382], [0.814, 0.127, 0.618], [0.127, 0.441, 0.618], [0.666, 0.666, 0.001], [0.334, 0.334, 0.999], [0.873, 0.559, 0.382], [0.186, 0.873, 0.382], [0.441, 0.814, 0.618]]}

(10)
{"formula": "Ce4Ge3H4", "functional": "PBE", "state": "relaxed", "total_energy_ev_per_atom": -5.239, "magmom_total_mub_per_cell": 0.32, "lattice": [[4.153, 0.000, 0.000], [0.000, 6.639, 0.000], [-2.077, -3.320, 6.779]], "species": ["Ce", "Ce", "Ce", "Ce", "Ge", "Ge", "Ge", "H", "H", "H", "H"], "fractional_positions": [[0.217, 0.717, 0.435], [0.783, 0.283, 0.565], [0.500, 0.791, 0.000], [0.500, 0.209, 0.000], [0.126, 0.126, 0.252], [0.874, 0.874, 0.748], [0.000, 0.500, 0.000], [0.319, 0.127, 0.638], [0.681, 0.489, 0.362], [0.681, 0.873, 0.362], [0.319, 0.511, 0.638]]}

(11)
{"formula": "Ce6Ge3H2", "functional": "PBE", "state": "relaxed", "total_energy_ev_per_atom": -5.606, "magmom_total_mub_per_cell": 5.00, "lattice": [[4.514, 0.000, 0.000], [0.000, 4.514, 0.000], [-2.257, -2.257, 12.253]], "species": ["Ce", "Ce", "Ce", "Ce", "Ce", "Ce", "Ge", "Ge", "Ge", "H", "H"], "fractional_positions": [[0.081, 0.581, 0.162], [0.581, 0.081, 0.162], [0.919, 0.419, 0.838], [0.419, 0.919, 0.838], [0.703, 0.703, 0.407], [0.297, 0.297, 0.593], [0.000, 0.000, 0.000], [0.829, 0.829, 0.657], [0.171, 0.171, 0.343], [0.392, 0.392, 0.785], [0.608, 0.608, 0.215]]}